Record 1
# CsHfP3

A geometry-optimized CsHfP3 structure (PBE, Alexandria).

Values from the calculation:
raw total energy	-3.32	eV per atom
ρ	5.0	g/cm³
excess energy over the best structure of this formula in the dataset	2.203	eV per atom
energy of formation	2.088	eV per atom

Cell: 5.1372 5.1372 5.1372 Å, 90.00 90.00 90.00°
With the nearest neighbours (Å) after each atom.
Positions (direct):
1 Cs 0.0000 0.0000 0.0000  6 P 2.57
2 Hf 0.5000 0.5000 0.5000  12 P 3.63
3 P 0.0000 0.0000 0.5000  2 Cs 2.57
4 P 0.0000 0.5000 0.0000  2 Cs 2.57
5 P 0.5000 0.0000 0.0000  2 Cs 2.57


Record 2
# SmEr2Tm3

A geometry-optimized SmEr2Tm3 structure (PBE, Alexandria).

Values from the calculation:
raw total energy	-4.52	eV per atom
ρ	8.9	g/cm³
excess energy over the best structure of this formula in the dataset	0.000	eV per atom
energy of formation	0.025	eV per atom

Cell: 9.3063 9.3063 6.0807 Å, 90.21 90.21 44.45°
With the nearest neighbours (Å) after each atom.
Positions (direct):
1 Sm 0.1254 0.8746 0.7500  8 Tm 3.51-3.54, 2 Sm 3.52, 2 Er 3.52
2 Sm 0.8746 0.1254 0.2500  8 Tm 3.51-3.54, 2 Sm 3.52, 2 Er 3.52
3 Er 0.2080 0.4574 0.5824  8 Tm 3.49-3.53, 3 Er 3.49-3.51, 1 Sm 3.52
4 Er 0.4574 0.2080 0.0824  8 Tm 3.49-3.53, 3 Er 3.49-3.51, 1 Sm 3.52
5 Er 0.5426 0.7920 0.9176  8 Tm 3.49-3.53, 3 Er 3.49-3.51, 1 Sm 3.52
6 Er 0.7920 0.5426 0.4176  8 Tm 3.49-3.53, 3 Er 3.49-3.51, 1 Sm 3.52
7 Tm 0.0425 0.2931 0.9163  4 Tm 3.48-3.53, 6 Er 3.49-3.52, 2 Sm 3.53-3.54
8 Tm 0.2931 0.0425 0.4163  4 Tm 3.48-3.53, 6 Er 3.49-3.52, 2 Sm 3.53-3.54
9 Tm 0.3758 0.6242 0.2500  4 Tm 3.51-3.53, 4 Sm 3.51-3.53, 4 Er 3.52-3.53
10 Tm 0.6242 0.3758 0.7500  4 Tm 3.51-3.53, 4 Sm 3.51-3.53, 4 Er 3.52-3.53
11 Tm 0.7069 0.9575 0.5837  4 Tm 3.48-3.53, 6 Er 3.49-3.52, 2 Sm 3.53-3.54
12 Tm 0.9575 0.7069 0.0837  4 Tm 3.48-3.53, 6 Er 3.49-3.52, 2 Sm 3.53-3.54


Record 3
# UMn6Ge6

A geometry-optimized UMn6Ge6 structure (PBE, Alexandria).

Values from the calculation:
raw total energy	-7.45	eV per atom
ρ	8.9	g/cm³
energy of formation	-0.216	eV per atom

Cell: 6.5655 6.5655 6.5655 Å, 133.60 103.15 94.75°
With the nearest neighbours (Å) after each atom.
Positions (direct):
1 U 0.0000 0.0000 0.0000  8 Ge 2.82-3.01
2 Mn 0.0000 0.0000 0.5000  6 Ge 2.52-2.69, 4 Mn 2.57-2.59
3 Mn 0.0000 0.5000 0.0000  6 Ge 2.52-2.69, 4 Mn 2.57-2.59
4 Mn 0.2486 0.5000 0.7486  6 Ge 2.51-2.71, 4 Mn 2.57
5 Mn 0.5000 0.0000 0.0000  6 Ge 2.52-2.69, 4 Mn 2.57-2.59
6 Mn 0.5000 0.5000 0.5000  6 Ge 2.52-2.69, 4 Mn 2.57-2.59
7 Mn 0.7514 0.5000 0.2514  6 Ge 2.51-2.71, 4 Mn 2.57
8 Ge 0.1698 0.6698 0.5000  6 Mn 2.52-2.53
9 Ge 0.3380 0.3380 0.0000  6 Mn 2.51-2.54
10 Ge 0.3460 0.0000 0.3460  1 Ge 2.51, 6 Mn 2.69-2.71
11 Ge 0.6540 0.0000 0.6540  1 Ge 2.51, 6 Mn 2.69-2.71
12 Ge 0.6620 0.6620 0.0000  6 Mn 2.51-2.54
13 Ge 0.8302 0.3302 0.5000  6 Mn 2.52-2.53


Record 4
# ScOs2Pb

A geometry-optimized ScOs2Pb structure (PBE, Alexandria).

Values from the calculation:
raw total energy	-7.80	eV per atom
ρ	14.9	g/cm³
energy of formation	0.328	eV per atom

Cell: 3.3249 3.3249 6.3825 Å, 90.00 90.00 90.00°
With the nearest neighbours (Å) after each atom.
Positions (direct):
1 Sc 0.0000 0.0000 0.0000  8 Os 2.82
2 Os 0.5000 0.5000 0.2444  4 Sc 2.82, 4 Pb 2.86, 1 Os 3.12
3 Os 0.5000 0.5000 0.7556  4 Sc 2.82, 4 Pb 2.86, 1 Os 3.12
4 Pb 0.0000 0.0000 0.5000  8 Os 2.86, 2 Sc 3.19


Record 5
# CaPm4Dy3S8

A geometry-optimized CaPm4Dy3S8 structure (PBE, Alexandria).

Values from the calculation:
E_form (uncorrected)	-2.0237	eV/atom
raw total energy	-6.26	eV per atom
ρ	6.3	g/cm³

Cell: 7.9953 7.9953 7.9953 Å, 59.49 59.49 59.49°
With the nearest neighbours (Å) after each atom.
Positions (direct):
1 Ca 0.0000 0.0000 0.0000  6 S 2.78
2 Pm 0.0000 0.0000 0.5000  6 S 2.86
3 Pm 0.0000 0.5000 0.0000  6 S 2.86
4 Pm 0.5000 0.0000 0.0000  6 S 2.86
5 Pm 0.5000 0.5000 0.5000  6 S 2.85
6 Dy 0.0000 0.5000 0.5000  6 S 2.77
7 Dy 0.5000 0.0000 0.5000  6 S 2.77
8 Dy 0.5000 0.5000 0.0000  6 S 2.77
9 S 0.2469 0.2469 0.7448  2 Dy 2.77, 1 Ca 2.78, 3 Pm 2.85-2.86
10 S 0.2469 0.7448 0.2469  2 Dy 2.77, 1 Ca 2.78, 3 Pm 2.85-2.86
11 S 0.2542 0.2542 0.2542  3 Dy 2.77, 3 Pm 2.86
12 S 0.2552 0.7531 0.7531  2 Dy 2.77, 1 Ca 2.78, 3 Pm 2.85-2.86
13 S 0.7448 0.2469 0.2469  2 Dy 2.77, 1 Ca 2.78, 3 Pm 2.85-2.86
14 S 0.7458 0.7458 0.7458  3 Dy 2.77, 3 Pm 2.86
15 S 0.7531 0.2552 0.7531  2 Dy 2.77, 1 Ca 2.78, 3 Pm 2.85-2.86
16 S 0.7531 0.7531 0.2552  2 Dy 2.77, 1 Ca 2.78, 3 Pm 2.85-2.86


Record 6
# Cs5Bi2Pb4

A geometry-optimized Cs5Bi2Pb4 structure (PBE, Alexandria).

Values from the calculation:
raw total energy	-2.51	eV per atom
ρ	6.2	g/cm³
energy of formation	-0.071	eV per atom

Cell: 7.8229 7.8229 10.6290 Å, 103.00 103.00 54.96°
With the nearest neighbours (Å) after each atom.
Positions (direct):
1 Cs 0.0000 0.0000 0.0000  2 Bi 4.11, 6 Pb 4.14-4.25, 4 Cs 4.33
2 Cs 0.1522 0.6421 0.6206  2 Cs 3.54-3.68, 2 Bi 3.89-3.92
3 Cs 0.3579 0.8478 0.3794  2 Cs 3.54-3.68, 2 Bi 3.89-3.92
4 Cs 0.6421 0.1522 0.6206  2 Cs 3.54-3.68, 2 Bi 3.89-3.92
5 Cs 0.8478 0.3579 0.3794  2 Cs 3.54-3.68, 2 Bi 3.89-3.92
6 Bi 0.1524 0.1524 0.7150  1 Pb 2.99
7 Bi 0.8476 0.8476 0.2850  1 Pb 2.99
8 Pb 0.2935 0.2935 0.2152  1 Pb 3.13
9 Pb 0.3335 0.3335 0.9380  1 Bi 2.99, 1 Pb 3.13
10 Pb 0.6665 0.6665 0.0620  1 Bi 2.99, 1 Pb 3.13
11 Pb 0.7065 0.7065 0.7848  1 Pb 3.13


Record 7
# Cu3W

A geometry-optimized Cu3W structure (PBE, Alexandria).

Values from the calculation:
raw total energy	-5.98	eV per atom
ρ	11.7	g/cm³
energy of formation	0.329	eV per atom

Cell: 2.5580 4.3101 4.8026 Å, 90.00 90.00 90.00°
With the nearest neighbours (Å) after each atom.
Positions (direct):
1 Cu 0.0000 0.0000 0.0000  8 Cu 2.56-2.78, 4 W 2.67
2 Cu 0.0000 0.5000 0.3107  8 Cu 2.56-2.64, 4 W 2.71-2.73
3 Cu 0.5000 0.0000 0.4863  10 Cu 2.56-2.78, 2 W 2.65
4 W 0.5000 0.5000 0.8082  2 W 2.56, 10 Cu 2.65-2.73


Record 8
# BiP2PtCl

A geometry-optimized BiP2PtCl structure (PBE, Alexandria).

Values from the calculation:
E_form (uncorrected)	0.3539	eV/atom
raw total energy	-4.16	eV per atom
ρ	7.6	g/cm³
excess energy over the best structure of this formula in the dataset	0.000	eV per atom

Cell: 4.7483 4.7483 4.8807 Å, 90.00 90.00 90.00°
With the nearest neighbours (Å) after each atom.
Positions (direct):
1 Bi 0.0000 0.0000 0.0000  4 Cl 3.36, 8 P 3.40
2 P 0.0000 0.5000 0.5000  2 Pt 2.37
3 P 0.5000 0.0000 0.5000  2 Pt 2.37
4 Pt 0.5000 0.5000 0.5000  4 P 2.37, 2 Cl 2.44
5 Cl 0.5000 0.5000 0.0000  2 Pt 2.44


Record 9
# K2CdGaHg6

A geometry-optimized K2CdGaHg6 structure (PBE, Alexandria).

Values from the calculation:
raw total energy	-0.92	eV per atom
ρ	7.4	g/cm³
energy of formation	-0.122	eV per atom

Cell: 6.9320 7.2449 8.3169 Å, 68.25 65.54 61.58°
With the nearest neighbours (Å) after each atom.
Positions (direct):
1 K 0.2096 0.3775 0.2102  9 Hg 3.49-3.82
2 K 0.7904 0.6225 0.7898  9 Hg 3.49-3.82
3 Cd 0.0000 0.0000 0.0000  6 Hg 2.81-3.11
4 Ga 0.5000 0.5000 0.5000  6 Hg 2.67-2.89
5 Hg 0.1475 0.8535 0.3473  1 Ga 2.89, 1 Cd 3.11
6 Hg 0.2581 0.7018 0.7748  1 Ga 2.67, 1 Cd 2.81
7 Hg 0.3457 0.1470 0.6542  1 Ga 2.89, 1 Cd 3.10
8 Hg 0.6543 0.8530 0.3458  1 Ga 2.89, 1 Cd 3.10
9 Hg 0.7419 0.2982 0.2252  1 Ga 2.67, 1 Cd 2.81
10 Hg 0.8525 0.1465 0.6527  1 Ga 2.89, 1 Cd 3.11


Record 10
# TaFeAu2

A geometry-optimized TaFeAu2 structure (PBE, Alexandria).

Values from the calculation:
raw total energy	-6.50	eV per atom
ρ	15.3	g/cm³
excess energy over the best structure of this formula in the dataset	0.205	eV per atom
energy of formation	0.217	eV per atom

Cell: 4.9463 4.9463 2.7915 Å, 90.00 90.00 90.00°
With the nearest neighbours (Å) after each atom.
Positions (direct):
1 Ta 0.0000 0.0000 0.0000  2 Ta 2.79, 8 Au 2.84
2 Fe 0.5000 0.5000 0.0000  2 Fe 2.79, 8 Au 2.84
3 Au 0.0000 0.5000 0.5000  2 Au 2.79, 4 Ta 2.84, 4 Fe 2.84
4 Au 0.5000 0.0000 0.5000  2 Au 2.79, 4 Ta 2.84, 4 Fe 2.84


Record 11
# BaPmF4

A geometry-optimized BaPmF4 structure (PBE, Alexandria).

Values from the calculation:
E_form (uncorrected)	-3.6597	eV/atom
raw total energy	-6.02	eV per atom
ρ	5.5	g/cm³

Cell: 4.1018 4.1018 6.4660 Å, 90.00 90.00 90.00°
With the nearest neighbours (Å) after each atom.
Positions (direct):
1 Ba 0.0000 0.0000 0.0000  8 F 2.84
2 Pm 0.5000 0.5000 0.5000  8 F 2.41
3 F 0.0000 0.5000 0.3044  2 Pm 2.41, 1 F 2.53
4 F 0.0000 0.5000 0.6956  2 Pm 2.41, 1 F 2.53
5 F 0.5000 0.0000 0.3044  2 Pm 2.41, 1 F 2.53
6 F 0.5000 0.0000 0.6956  2 Pm 2.41, 1 F 2.53


Record 12
# Y5TlZn4

A geometry-optimized Y5TlZn4 structure (PBE, Alexandria).

Values from the calculation:
raw total energy	-4.35	eV per atom
ρ	6.3	g/cm³
energy of formation	-0.367	eV per atom

Cell: 3.6076 3.6076 18.3226 Å, 90.00 90.00 90.00°
With the nearest neighbours (Å) after each atom.
Positions (direct):
1 Y 0.0000 0.0000 0.0000  8 Zn 3.11
2 Y 0.0000 0.0000 0.1933  8 Zn 3.09-3.10
3 Y 0.0000 0.0000 0.3856  4 Zn 3.11, 4 Tl 3.30
4 Y 0.0000 0.0000 0.6144  4 Zn 3.11, 4 Tl 3.30
5 Y 0.0000 0.0000 0.8067  8 Zn 3.09-3.10
6 Tl 0.5000 0.5000 0.5000  8 Y 3.30, 4 Tl 3.61
7 Zn 0.5000 0.5000 0.0975  8 Y 3.10-3.11
8 Zn 0.5000 0.5000 0.2884  8 Y 3.09-3.11
9 Zn 0.5000 0.5000 0.7116  8 Y 3.09-3.11
10 Zn 0.5000 0.5000 0.9025  8 Y 3.10-3.11


Record 13
# Ti3Pt7

A geometry-optimized Ti3Pt7 structure (PBE, Alexandria).

Values from the calculation:
raw total energy	-7.49	eV per atom
ρ	16.2	g/cm³
energy of formation	-0.889	eV per atom

Cell: 7.4305 7.4305 5.5690 Å, 101.57 101.57 30.96°
With the nearest neighbours (Å) after each atom.
Positions (direct):
1 Ti 0.0000 0.0000 0.0000  12 Pt 2.77-2.85
2 Ti 0.1954 0.1954 0.6253  10 Pt 2.69-2.82
3 Ti 0.8046 0.8046 0.3747  10 Pt 2.69-2.82
4 Pt 0.0000 0.0000 0.5000  4 Ti 2.74-2.78, 8 Pt 2.78-2.82
5 Pt 0.2015 0.2015 0.1220  5 Ti 2.69-2.82, 7 Pt 2.75-2.92
6 Pt 0.3953 0.3953 0.6875  7 Pt 2.75-2.82, 5 Ti 2.78-2.85
7 Pt 0.4031 0.4031 0.1955  4 Ti 2.74-2.77, 8 Pt 2.77-2.86
8 Pt 0.5969 0.5969 0.8045  4 Ti 2.74-2.77, 8 Pt 2.77-2.86
9 Pt 0.6047 0.6047 0.3125  7 Pt 2.75-2.82, 5 Ti 2.78-2.85
10 Pt 0.7985 0.7985 0.8780  5 Ti 2.69-2.82, 7 Pt 2.75-2.92


Record 14
# Pr3NiIr

A geometry-optimized Pr3NiIr structure (PBE, Alexandria).

Values from the calculation:
raw total energy	-6.15	eV per atom
ρ	7.9	g/cm³
excess energy over the best structure of this formula in the dataset	0.012	eV per atom
energy of formation	-0.358	eV per atom

Cell: 7.6203 7.6203 7.6203 Å, 55.81 55.81 55.81°
With the nearest neighbours (Å) after each atom.
Positions (direct):
1 Pr 0.1115 0.3934 0.7480  2 Ni 2.88-2.97, 2 Ir 2.90-2.93
2 Pr 0.2520 0.8885 0.6066  2 Ni 2.88-2.97, 2 Ir 2.90-2.93
3 Pr 0.3934 0.7480 0.1115  2 Ni 2.88-2.97, 2 Ir 2.90-2.93
4 Pr 0.6066 0.2520 0.8885  2 Ni 2.88-2.97, 2 Ir 2.90-2.93
5 Pr 0.7480 0.1115 0.3934  2 Ni 2.88-2.97, 2 Ir 2.90-2.93
6 Pr 0.8885 0.6066 0.2520  2 Ni 2.88-2.97, 2 Ir 2.90-2.93
7 Ni 0.3180 0.3180 0.3180  1 Ir 2.69, 6 Pr 2.88-2.97
8 Ni 0.6820 0.6820 0.6820  1 Ir 2.69, 6 Pr 2.88-2.97
9 Ir 0.1783 0.1783 0.1783  1 Ni 2.69, 6 Pr 2.90-2.93
10 Ir 0.8217 0.8217 0.8217  1 Ni 2.69, 6 Pr 2.90-2.93


Record 15
# In2FeCu

A geometry-optimized In2FeCu structure (PBE, Alexandria).

Values from the calculation:
raw total energy	-4.25	eV per atom
ρ	7.9	g/cm³
excess energy over the best structure of this formula in the dataset	0.048	eV per atom
energy of formation	0.259	eV per atom

Cell: 3.0502 3.0502 7.8677 Å, 90.00 90.00 90.00°
With the nearest neighbours (Å) after each atom.
Positions (direct):
1 In 0.0000 0.0000 0.0000  4 Fe 2.83, 4 In 3.05
2 In 0.5000 0.5000 0.3576  4 Cu 2.85, 4 In 3.05
3 Fe 0.5000 0.5000 0.7669  4 Cu 2.55, 4 In 2.83
4 Cu 0.0000 0.0000 0.5942  4 Fe 2.55, 4 In 2.85


Record 16
# CsRb2Pb

A geometry-optimized CsRb2Pb structure (PBE, Alexandria).

Values from the calculation:
raw total energy	-1.68	eV per atom
ρ	3.1	g/cm³
energy of formation	-0.057	eV per atom

Cell: 13.2008 7.9603 11.0980 Å, 90.00 110.62 90.00°
With the nearest neighbours (Å) after each atom.
Positions (direct):
1 Cs 0.0903 0.0860 0.2067  5 Pb 4.14-4.44, 1 Rb 4.53, 1 Cs 4.57
2 Cs 0.0903 0.4140 0.7067  5 Pb 4.14-4.44, 1 Rb 4.53, 1 Cs 4.57
3 Cs 0.9097 0.5860 0.2933  5 Pb 4.14-4.44, 1 Rb 4.53, 1 Cs 4.57
4 Cs 0.9097 0.9140 0.7933  5 Pb 4.14-4.44, 1 Rb 4.53, 1 Cs 4.57
5 Rb 0.2848 0.6457 0.4306  2 Pb 3.90-3.94
6 Rb 0.2848 0.8543 0.9306  2 Pb 3.90-3.94
7 Rb 0.3972 0.1350 0.6433  1 Pb 3.94
8 Rb 0.3972 0.3650 0.1433  1 Pb 3.94
9 Rb 0.6028 0.6350 0.8567  1 Pb 3.94
10 Rb 0.6028 0.8650 0.3567  1 Pb 3.94
11 Rb 0.7152 0.1457 0.0694  2 Pb 3.90-3.94
12 Rb 0.7152 0.3543 0.5694  2 Pb 3.90-3.94
13 Pb 0.1093 0.5670 0.0705  1 Pb 2.96
14 Pb 0.1093 0.9330 0.5705  1 Pb 2.96
15 Pb 0.8907 0.0670 0.4295  1 Pb 2.96
16 Pb 0.8907 0.4330 0.9295  1 Pb 2.96


Record 17
# LaPrSbP

A geometry-optimized LaPrSbP structure (PBE, Alexandria).

Values from the calculation:
E_form (uncorrected)	-1.3627	eV/atom
raw total energy	-6.17	eV per atom
ρ	5.9	g/cm³

Cell: 4.3897 4.3897 21.8547 Å, 90.00 90.00 120.00°
With the nearest neighbours (Å) after each atom.
Positions (direct):
1 La 0.0000 0.0000 0.0000  3 P 3.03, 3 Sb 3.23
2 La 0.3333 0.6667 0.6667  3 P 3.03, 3 Sb 3.23
3 La 0.6667 0.3333 0.3333  3 P 3.03, 3 Sb 3.23
4 Pr 0.0000 0.0000 0.5147  3 P 3.03, 3 Sb 3.20
5 Pr 0.3333 0.6667 0.1814  3 P 3.03, 3 Sb 3.20
6 Pr 0.6667 0.3333 0.8480  3 P 3.03, 3 Sb 3.20
7 Sb 0.0000 0.0000 0.7584  3 Pr 3.20, 3 La 3.23
8 Sb 0.3333 0.6667 0.4251  3 Pr 3.20, 3 La 3.23
9 Sb 0.6667 0.3333 0.0917  3 Pr 3.20, 3 La 3.23
10 P 0.0000 0.0000 0.2570  3 Pr 3.03, 3 La 3.03
11 P 0.3333 0.6667 0.9237  3 Pr 3.03, 3 La 3.03
12 P 0.6667 0.3333 0.5903  3 Pr 3.03, 3 La 3.03


Record 18
# LiLaTc

A geometry-optimized LiLaTc structure (PBE, Alexandria).

Values from the calculation:
raw total energy	-5.31	eV per atom
ρ	6.8	g/cm³
excess energy over the best structure of this formula in the dataset	0.273	eV per atom
energy of formation	0.423	eV per atom

Cell: 2.9830 4.3192 9.2438 Å, 90.00 90.00 90.00°
With the nearest neighbours (Å) after each atom.
Positions (direct):
1 Li 0.0000 0.0000 0.0000  5 La 2.86-3.16, 4 Tc 2.88, 2 Li 2.98
2 Li 0.5000 0.5000 0.5000  5 La 2.86-3.16, 4 Tc 2.88, 2 Li 2.98
3 La 0.0000 0.0000 0.3094  5 Li 2.86-3.16, 5 Tc 2.94-3.12, 2 La 2.98
4 La 0.5000 0.5000 0.8094  5 Li 2.86-3.16, 5 Tc 2.94-3.12, 2 La 2.98
5 Tc 0.0000 0.0000 0.6274  4 Li 2.88, 5 La 2.94-3.12, 2 Tc 2.98
6 Tc 0.5000 0.5000 0.1274  4 Li 2.88, 5 La 2.94-3.12, 2 Tc 2.98


Record 19
# KCdB2F

A geometry-optimized KCdB2F structure (PBE, Alexandria).

Values from the calculation:
E_form (uncorrected)	0.5700	eV/atom
raw total energy	-2.88	eV per atom
ρ	3.0	g/cm³

Cell: 4.2183 4.2183 5.9079 Å, 90.00 90.00 90.00°
With the nearest neighbours (Å) after each atom.
Positions (direct):
1 K 0.0000 0.0000 0.0000  4 F 2.98
2 Cd 0.5000 0.5000 0.5000  4 B 2.11
3 B 0.0000 0.5000 0.5000  2 Cd 2.11
4 B 0.5000 0.0000 0.5000  2 Cd 2.11
5 F 0.5000 0.5000 0.0000  2 Cd 2.95, 4 K 2.98


Record 20
# Pm4Cu3Ge

A geometry-optimized Pm4Cu3Ge structure (PBE, Alexandria).

Values from the calculation:
raw total energy	-4.83	eV per atom
ρ	7.4	g/cm³
energy of formation	-0.338	eV per atom

Cell: 4.1019 4.3214 10.7400 Å, 90.00 90.00 90.00°
With the nearest neighbours (Å) after each atom.
Positions (direct):
1 Pm 0.0000 0.0000 0.0000  6 Cu 3.03-3.09, 1 Ge 3.05
2 Pm 0.0000 0.5000 0.2824  7 Cu 3.02-3.11
3 Pm 0.5000 0.0000 0.4968  5 Cu 3.09-3.11, 2 Ge 3.12
4 Pm 0.5000 0.5000 0.7861  4 Ge 3.07, 3 Cu 3.08-3.12
5 Cu 0.0000 0.5000 0.5721  2 Ge 2.66
6 Cu 0.5000 0.0000 0.2073  2 Cu 2.58
7 Cu 0.5000 0.5000 0.0765  2 Cu 2.58
8 Ge 0.0000 0.0000 0.7157  2 Cu 2.66